## a
## La2Sm3Ho4 (PBE-GGA)

Data for a relaxed La2Sm3Ho4 crystal.

a b c (Å): 16.7952 5.8100 6.4975
angles (deg): 90.00 107.25 90.00
Closest atoms and distances in Å follow each position.
Space group C2/m (No. 12)
Unique sites:
La (0.1420, 0.0000, 0.2947)  6 Ho 3.38-3.67, 3 Sm 3.52-3.77
Sm (0.0000, 0.5000, 0.0000)  6 Ho 3.64-3.67, 4 Sm 3.75-3.87, 4 La 3.88
Sm (0.1243, 0.5000, 0.5848)  3 Ho 3.36-3.52, 2 La 3.52, 1 Sm 3.75
Ho (0.0638, 0.0000, 0.7512)  2 Ho 3.33-3.35, 4 Sm 3.36-3.64, 3 La 3.38-3.58
Ho (0.2286, 0.5000, 0.1412)  3 Ho 3.35-3.62, 2 Sm 3.52-3.67, 3 La 3.52-3.67

Output
DOS at the Fermi energy ... 29.08 states/eV/cell
Spin magnetization ... 0.00 μB/cell

## b
## La2Sm3Ho4 (PBE-GGA)

Data for a relaxed La2Sm3Ho4 crystal.

a b c (Å): 15.3309 5.1140 8.0533
angles (deg): 90.00 108.40 90.00
Closest atoms and distances in Å follow each position.
Space group C2/m (No. 12)
Unique sites:
La (0.1659, 0.0000, 0.0004)  5 Sm 3.61-3.64, 5 Ho 3.61-3.65, 2 La 3.63
Sm (0.0000, 0.5000, 0.0000)  4 La 3.61, 2 Sm 3.62, 6 Ho 3.63-3.64
Sm (0.1106, 0.5000, 0.6633)  7 Ho 3.55-3.62, 2 Sm 3.57-3.62, 3 La 3.63-3.64
Ho (0.0571, 0.0000, 0.3384)  4 Ho 3.56-3.60, 6 Sm 3.56-3.64, 2 La 3.61-3.64
Ho (0.2221, 0.5000, 0.3382)  4 Sm 3.55-3.63, 5 Ho 3.56-3.60, 3 La 3.63-3.65

Output
DOS at the Fermi energy ... 28.02 states/eV/cell
Spin magnetization ... 0.00 μB/cell

Most stable to least stable, the ends of the list are b and a.

## a
## LaSm6Ho (PBE-GGA)

Data for a relaxed LaSm6Ho crystal.

a b c (Å): 9.3789 7.1479 9.1101
angles (deg): 90.00 104.14 90.00
Closest atoms and distances in Å follow each position.
Space group C2/m (No. 12)
Unique sites:
La (0.0000, 0.0000, 0.0000)  6 Sm 3.39-3.56
Sm (0.1276, 0.5000, 0.9240)  3 Sm 3.04-3.35, 1 La 3.39
Sm (0.2217, 0.2634, 0.3027)  4 Sm 3.35-3.75, 2 Ho 3.36-3.50, 1 La 3.56
Ho (0.0000, 0.5000, 0.5000)  10 Sm 3.36-3.75

Output
DOS at the Fermi energy ... 29.01 states/eV/cell
Spin magnetization ... 0.00 μB/cell

## b
## LaSm6Ho (PBE-GGA)

Data for a relaxed LaSm6Ho crystal.

a b c (Å): 5.1327 5.1327 10.2730
angles (deg): 90.00 90.00 90.00
Closest atoms and distances in Å follow each position.
Space group P4/mmm (No. 123)
Unique sites:
La (0.0000, 0.0000, 0.0000)  12 Sm 3.63-3.66
Sm (0.0000, 0.5000, 0.2540)  2 Ho 3.60, 8 Sm 3.60-3.66, 2 La 3.66
Sm (0.5000, 0.5000, 0.0000)  4 La 3.63, 8 Sm 3.66
Sm (0.5000, 0.5000, 0.5000)  8 Sm 3.60, 4 Ho 3.63
Ho (0.0000, 0.0000, 0.5000)  12 Sm 3.60-3.63

Output
DOS at the Fermi energy ... 13.54 states/eV/cell
Spin magnetization ... 0.00 μB/cell

Most stable to least stable, the ends of the list are b and a.

## a
## LaSm4Ho5 (PBE-GGA)

Data for a relaxed LaSm4Ho5 crystal.

a b c (Å): 3.5426 6.8143 14.1735
angles (deg): 93.97 95.11 103.74
Closest atoms and distances in Å follow each position.
Space group P-1 (No. 2)
Unique sites:
La (0.0000, 0.0000, 0.0000)  2 Ho 3.45, 2 La 3.54, 4 Sm 3.63-3.80
Sm (0.1830, 0.6802, 0.8019)  3 Ho 3.30-3.70, 5 Sm 3.48-3.65, 1 La 3.63
Sm (0.4711, 0.2006, 0.7836)  5 Sm 3.48-3.65, 5 Ho 3.50-3.82, 1 La 3.80
Ho (0.0140, 0.6051, 0.4030)  6 Ho 3.18-3.56, 3 Sm 3.30-3.53
Ho (0.2919, 0.1342, 0.4048)  9 Ho 3.50-3.85, 4 Sm 3.68-3.82
Ho (0.5000, 0.5000, 0.0000)  4 Sm 3.35-3.54, 2 La 3.45, 2 Ho 3.54

Output
DOS at the Fermi energy ... 16.35 states/eV/cell
Spin magnetization ... 0.00 μB/cell

## b
## LaSm4Ho5 (PBE-GGA)

Data for a relaxed LaSm4Ho5 crystal.

a b c (Å): 10.5623 10.5623 6.0362
angles (deg): 90.00 90.00 90.00
Closest atoms and distances in Å follow each position.
Space group I4mm (No. 107)
Unique sites:
La (0.0000, 0.0000, 0.0000)  2 Ho 2.85-3.19
Sm (0.0000, 0.3278, 0.2710)  3 Ho 3.29-3.67, 1 Sm 3.64
Ho (0.0000, 0.0000, 0.4721)  2 La 2.85-3.19
Ho (0.1896, 0.1896, 0.7315)  3 Ho 3.24-3.52, 1 La 3.26, 2 Sm 3.29

Output
DOS at the Fermi energy ... 27.61 states/eV/cell
Spin magnetization ... 0.00 μB/cell

Most stable to least stable, the ends of the list are a and b.

## a
## La7Sm12Ho (PBE-GGA)

Data for a relaxed La7Sm12Ho crystal.

a b c (Å): 11.5384 11.5384 11.5384
angles (deg): 90.00 90.00 90.00
Closest atoms and distances in Å follow each position.
Space group Im-3 (No. 204)
Unique sites:
La (0.0000, 0.0000, 0.5000)  12 Sm 4.07-4.14
La (0.2500, 0.2500, 0.2500)  6 Sm 2.89
Sm (0.0000, 0.2459, 0.2469)  2 La 2.89
Ho (0.0000, 0.0000, 0.0000)  12 Sm 4.02

Output
DOS at the Fermi energy ... 68.18 states/eV/cell
Spin magnetization ... 0.01 μB/cell

## b
## La7Sm12Ho (PBE-GGA)

Data for a relaxed La7Sm12Ho crystal.

a b c (Å): 13.6362 13.6362 13.0087
angles (deg): 90.00 90.00 120.00
Closest atoms and distances in Å follow each position.
Space group R-3m (No. 166, hexagonal axes)
Unique sites:
La (0.0000, 0.0000, 0.0000)  6 Sm 3.50
La (0.0902, 0.1804, 0.2697)  6 Sm 3.48-3.85, 1 Ho 3.68, 2 La 3.69
Sm (0.0000, 0.2591, 0.5000)  4 La 3.48-3.60, 6 Sm 3.53-3.65, 1 Ho 3.53
Sm (0.0426, 0.5213, 0.6164)  1 Sm 3.19, 1 La 3.50
Ho (0.0000, 0.0000, 0.5000)  6 Sm 3.53, 6 La 3.68

Output
DOS at the Fermi energy ... 98.87 states/eV/cell
Spin magnetization ... 0.00 μB/cell

Most stable to least stable, the ends of the list are b and a.

## a
## La3SmHo3 (PBE-GGA)

Data for a relaxed La3SmHo3 crystal.

a b c (Å): 9.4856 9.4856 18.8170
angles (deg): 90.00 90.00 120.00
Closest atoms and distances in Å follow each position.
Space group R-3 (No. 148, hexagonal axes)
Unique sites:
La (0.0502, 0.2429, 0.0775)  5 Ho 3.45-3.63, 1 Sm 3.55, 4 La 3.60-3.65
Sm (0.0000, 0.0000, 0.4087)  1 Sm 3.44, 6 Ho 3.45-3.60, 3 La 3.55
Ho (0.0500, 0.2351, 0.2606)  3 Ho 3.43-3.52, 5 La 3.45-3.63, 2 Sm 3.45-3.60

Output
DOS at the Fermi energy ... 57.23 states/eV/cell
Spin magnetization ... 0.00 μB/cell

## b
## La3SmHo3 (PBE-GGA)

Data for a relaxed La3SmHo3 crystal.

a b c (Å): 9.7744 9.7744 5.8277
angles (deg): 90.00 90.00 120.00
Closest atoms and distances in Å follow each position.
Space group P6_3/m (No. 176)
Unique sites:
La (0.0968, 0.6237, 0.2500)  3 Sm 3.61-3.71, 5 Ho 3.63-3.79, 4 La 3.65-3.70
Sm (0.3333, 0.6667, 0.7500)  9 La 3.61-3.71, 3 Ho 3.75
Ho (0.0458, 0.8149, 0.7500)  6 Ho 3.57-3.58, 5 La 3.63-3.79, 1 Sm 3.75

Output
DOS at the Fermi energy ... 26.37 states/eV/cell
Spin magnetization ... 0.00 μB/cell

Most stable to least stable, the ends of the list are b and a.

## a
## La2SmHo3 (PBE-GGA)

Data for a relaxed La2SmHo3 crystal.

a b c (Å): 9.5166 13.1347 6.5061
angles (deg): 90.00 90.00 90.00
Closest atoms and distances in Å follow each position.
Space group Cmc2_1 (No. 36)
Unique sites:
La (0.1709, 0.0649, 0.0000)  1 La 3.25, 4 Ho 3.36-3.53
Sm (0.0000, 0.3321, 0.2190)  7 Ho 3.21-3.55
Ho (0.0000, 0.4089, 0.7414)  3 Sm 3.27-3.55, 2 La 3.52, 2 Ho 3.64
Ho (0.1817, 0.1908, 0.5206)  2 Sm 3.21-3.31, 3 La 3.36-3.53, 1 Ho 3.46

Output
DOS at the Fermi energy ... 37.07 states/eV/cell
Spin magnetization ... 0.00 μB/cell

## b
## La2SmHo3 (PBE-GGA)

Data for a relaxed La2SmHo3 crystal.

a b c (Å): 17.0972 6.9697 7.0390
angles (deg): 90.00 101.91 90.00
Closest atoms and distances in Å follow each position.
Space group C2/c (No. 15)
Unique sites:
La (0.1764, 0.0065, 0.0882)  2 La 3.52, 6 Ho 3.54-3.83, 2 Sm 3.79-3.83
Sm (0.0000, 0.2358, 0.7500)  7 Ho 3.28-3.52
Ho (0.0000, 0.2354, 0.2500)  3 Sm 3.28-3.52, 4 Ho 3.40-3.44
Ho (0.1365, 0.4950, 0.5678)  4 Ho 3.40-3.52, 2 Sm 3.40-3.44, 4 La 3.54-3.59

Output
DOS at the Fermi energy ... 38.87 states/eV/cell
Spin magnetization ... 0.00 μB/cell

Most stable to least stable, the ends of the list are b and a.